{"formula": "Sc2TaMn2", "functional": "PBE", "state": "optimized geometry", "magmom_total_mub_per_atom": 0.000, "dos_at_fermi_per_ev_atom": 1.2802, "delta_e_f_mev_per_atom": 344, "sg": "I4/mmm", "lattice": [[-2.1030, -1.2476, -1.9019], [2.1476, -0.2355, -2.2201], [2.2725, -9.2245, 1.0155]], "species": ["Sc", "Sc", "Mn", "Mn", "Ta"], "fractional_positions": [[0.3802, 0.3802, 0.2397], [0.6198, 0.6198, 0.7603], [0.7500, 0.2500, 0.5000], [0.2500, 0.7500, 0.5000], [0.0000, 0.0000, 0.0000]]}


{"formula": "CaY4Be", "functional": "PBE", "state": "optimized geometry", "magmom_total_mub_per_atom": 0.000, "dos_at_fermi_per_ev_atom": 1.0287, "delta_e_f_mev_per_atom": 621, "sg": "F-43m", "lattice": [[0.0000, 4.5695, 4.5695], [4.5695, 0.0000, 4.5695], [4.5695, 4.5695, 0.0000]], "species": ["Ca", "Y", "Y", "Y", "Y", "Be"], "fractional_positions": [[0.0000, 0.0000, 0.0000], [0.8724, 0.3759, 0.3759], [0.3759, 0.3759, 0.8724], [0.3759, 0.8724, 0.3759], [0.3759, 0.3759, 0.3759], [0.7500, 0.7500, 0.7500]]}


{"formula": "CaBi2O6", "functional": "PBE", "state": "optimized geometry", "e_form_raw_ev_per_atom": -1.13, "magmom_total_mub_per_atom": 0.000, "dos_at_fermi_per_ev_atom": 0.4974, "sg": "P-3", "lattice": [[3.2725, 0.0000, 0.0000], [0.0000, 6.2154, 0.0000], [0.0000, -3.1077, 5.3827]], "species": ["Ca", "Bi", "Bi", "O", "O", "O", "O", "O", "O"], "fractional_positions": [[0.5000, 0.0000, 0.0000], [0.2476, 0.6667, 0.3333], [0.7524, 0.3333, 0.6667], [0.2494, 0.6026, 0.7034], [0.2494, 0.1008, 0.3974], [0.2494, 0.2966, 0.8992], [0.7506, 0.3974, 0.2966], [0.7506, 0.8992, 0.6026], [0.7506, 0.7034, 0.1008]]}


{"formula": "Mg2Au2F", "functional": "PBE", "state": "optimized geometry", "e_form_raw_ev_per_atom": -0.76, "magmom_total_mub_per_atom": 0.000, "dos_at_fermi_per_ev_atom": 0.2260, "sg": "P4/mbm", "lattice": [[7.7377, 0.0000, 0.0000], [0.0000, 7.7377, 0.0000], [0.0000, 0.0000, 3.1164]], "species": ["Mg", "Mg", "Mg", "Mg", "Au", "Au", "Au", "Au", "F", "F"], "fractional_positions": [[0.1730, 0.6730, 0.5000], [0.6730, 0.8270, 0.5000], [0.8270, 0.3270, 0.5000], [0.3270, 0.1730, 0.5000], [0.3714, 0.8714, 0.0000], [0.8714, 0.6286, 0.0000], [0.6286, 0.1286, 0.0000], [0.1286, 0.3714, 0.0000], [0.0000, 0.0000, 0.0000], [0.5000, 0.5000, 0.0000]]}


{"formula": "Mg2InAg", "functional": "PBE", "state": "optimized geometry", "magmom_total_mub_per_atom": 0.000, "dos_at_fermi_per_ev_atom": 0.4904, "delta_e_f_mev_per_atom": 78, "sg": "I-42d", "lattice": [[-3.7780, -1.6220, -1.4730], [1.6956, -0.3048, -4.0132], [2.0983, -10.1117, -0.7217]], "species": ["Mg", "Mg", "Mg", "Mg", "Ag", "Ag", "In", "In"], "fractional_positions": [[0.6140, 0.1250, 0.2500], [0.1360, 0.6250, 0.2500], [0.3750, 0.3860, 0.7500], [0.8750, 0.8640, 0.7500], [0.5000, 0.5000, 0.0000], [0.2500, 0.7500, 0.5000], [0.0000, 0.0000, 0.0000], [0.7500, 0.2500, 0.5000]]}


{"formula": "SrCoH2", "functional": "PBE", "state": "optimized geometry", "energy_ev_per_cell": -13.8, "magmom_total_mub_per_atom": 0.530, "dos_at_fermi_per_ev_atom": 2.1476, "sg": "Fm-3m", "lattice": [[-2.5279, -0.5902, 3.3797], [-4.1528, -0.7791, -0.5554], [-1.5718, -3.8721, 0.8349]], "species": ["Sr", "Co", "H", "H"], "fractional_positions": [[0.5000, 0.5000, 0.5000], [0.0000, 0.0000, 0.0000], [0.2500, 0.2500, 0.2500], [0.7500, 0.7500, 0.7500]]}


{"formula": "Li4DyPb2", "functional": "PBE", "state": "optimized geometry", "magmom_total_mub_per_atom": 0.000, "dos_at_fermi_per_ev_atom": 0.3653, "delta_e_f_mev_per_atom": -362, "sg": "P4_2/mnm", "lattice": [[-1.0909, -1.6060, -4.2792], [7.7796, -0.8988, -1.6459], [-0.2559, -7.4666, 2.8675]], "species": ["Li", "Li", "Li", "Li", "Li", "Li", "Li", "Li", "Dy", "Dy", "Pb", "Pb", "Pb", "Pb"], "fractional_positions": [[0.0000, 0.1105, 0.3586], [0.0000, 0.8895, 0.6414], [0.5000, 0.1414, 0.6105], [0.5000, 0.8586, 0.3895], [0.5000, 0.3895, 0.8586], [0.5000, 0.6105, 0.1414], [0.0000, 0.3586, 0.1105], [0.0000, 0.6414, 0.8895], [0.5000, 0.0000, 0.0000], [0.0000, 0.5000, 0.5000], [0.0000, 0.2076, 0.7924], [0.0000, 0.7924, 0.2076], [0.5000, 0.7076, 0.7076], [0.5000, 0.2924, 0.2924]]}


{"formula": "Cd5Au", "functional": "PBE", "state": "optimized geometry", "magmom_total_mub_per_atom": 0.000, "dos_at_fermi_per_ev_atom": 0.4198, "delta_e_f_mev_per_atom": -42, "sg": "Cmmm", "lattice": [[-0.1328, 3.3191, -2.8789], [0.0172, -2.7619, -6.5409], [-4.2985, -0.1331, 0.0449]], "species": ["Au", "Cd", "Cd", "Cd", "Cd", "Cd"], "fractional_positions": [[0.0278, 0.9444, 0.0000], [0.1915, 0.6169, 0.5000], [0.3647, 0.2706, 0.0000], [0.5278, 0.9445, 0.5000], [0.6909, 0.6182, 0.0000], [0.8640, 0.2720, 0.5000]]}


{"formula": "ZnFe2Ni9", "functional": "PBE", "state": "optimized geometry", "magmom_total_mub_per_atom": 0.894, "dos_at_fermi_per_ev_atom": 0.6932, "delta_e_f_mev_per_atom": -107, "sg": "P4/mmm", "lattice": [[3.5565, 0.0000, 0.0000], [0.0000, 3.5565, 0.0000], [0.0000, 0.0000, 10.6341]], "species": ["Zn", "Fe", "Fe", "Ni", "Ni", "Ni", "Ni", "Ni", "Ni", "Ni", "Ni", "Ni"], "fractional_positions": [[0.0000, 0.0000, 0.0000], [0.0000, 0.0000, 0.3322], [0.0000, 0.0000, 0.6678], [0.5000, 0.5000, 0.0000], [0.5000, 0.5000, 0.3350], [0.5000, 0.5000, 0.6650], [0.5000, 0.0000, 0.1711], [0.5000, 0.0000, 0.5000], [0.5000, 0.0000, 0.8289], [0.0000, 0.5000, 0.1711], [0.0000, 0.5000, 0.5000], [0.0000, 0.5000, 0.8289]]}


{"formula": "Na2Sc2Cl7", "functional": "PBE", "state": "optimized geometry", "e_form_raw_ev_per_atom": -1.88, "magmom_total_mub_per_atom": 0.094, "dos_at_fermi_per_ev_atom": 0.0790, "sg": "C2/m", "lattice": [[6.9164, 0.1408, 0.2032], [-0.6075, 7.2751, -0.2461], [-0.6075, -2.7852, 6.7253]], "species": ["Na", "Na", "Sc", "Sc", "Cl", "Cl", "Cl", "Cl", "Cl", "Cl", "Cl"], "fractional_positions": [[0.5000, 0.2968, 0.7032], [0.5000, 0.7032, 0.2968], [0.8927, 0.2910, 0.2910], [0.1073, 0.7090, 0.7090], [0.2679, 0.9347, 0.5819], [0.7321, 0.4181, 0.0653], [0.7321, 0.0653, 0.4181], [0.2679, 0.5819, 0.9347], [0.0000, 0.0000, 0.0000], [0.7601, 0.5827, 0.5827], [0.2399, 0.4173, 0.4173]]}


{"formula": "Ce5Sb2OsN", "functional": "PBE", "state": "optimized geometry", "e_form_raw_ev_per_atom": -0.74, "magmom_total_mub_per_atom": 0.455, "dos_at_fermi_per_ev_atom": 2.7262, "sg": "P4/mmm", "lattice": [[-3.4181, 2.9105, -1.0018], [-2.1444, -1.1776, 3.8952], [5.4282, 8.2635, 5.4867]], "species": ["Ce", "Ce", "Ce", "Ce", "Ce", "Sb", "Sb", "Os", "N"], "fractional_positions": [[0.0000, 0.5000, 0.5000], [0.5000, 0.0000, 0.5000], [0.0000, 0.0000, 0.7735], [0.0000, 0.0000, 0.2265], [0.5000, 0.5000, 0.0000], [0.5000, 0.5000, 0.2889], [0.5000, 0.5000, 0.7111], [0.0000, 0.0000, 0.0000], [0.0000, 0.0000, 0.5000]]}


{"formula": "NaPtSe2Br", "functional": "PBE", "state": "optimized geometry", "e_form_raw_ev_per_atom": -0.19, "magmom_total_mub_per_atom": 0.253, "dos_at_fermi_per_ev_atom": 1.0065, "sg": "P4/mmm", "lattice": [[4.9880, 0.0000, 0.0000], [0.0000, 4.9880, 0.0000], [0.0000, 0.0000, 5.4558]], "species": ["Na", "Se", "Se", "Br", "Pt"], "fractional_positions": [[0.5000, 0.5000, 0.5000], [0.0000, 0.5000, 0.0000], [0.5000, 0.0000, 0.0000], [0.0000, 0.0000, 0.5000], [0.0000, 0.0000, 0.0000]]}


{"formula": "K2RuN4", "functional": "PBE", "state": "optimized geometry", "e_form_raw_ev_per_atom": 0.96, "magmom_total_mub_per_atom": 0.639, "dos_at_fermi_per_ev_atom": 0.5211, "sg": "I4/mmm", "lattice": [[-2.0927, 3.2916, -0.1850], [-0.3345, 0.0059, 3.8905], [4.9422, 5.5917, 2.3760]], "species": ["Ru", "K", "K", "N", "N", "N", "N"], "fractional_positions": [[0.0000, 0.0000, 0.0000], [0.6528, 0.6528, 0.6945], [0.3472, 0.3472, 0.3055], [0.8581, 0.8581, 0.2838], [0.1419, 0.1419, 0.7162], [0.0000, 0.5000, 0.0000], [0.5000, 0.0000, 0.0000]]}


{"formula": "AsAu3", "functional": "PBE", "state": "optimized geometry", "magmom_total_mub_per_atom": 0.000, "dos_at_fermi_per_ev_atom": 0.0018, "delta_e_f_mev_per_atom": 333, "sg": "Pm-3m", "lattice": [[-3.6680, 3.1510, -1.0705], [-3.1968, -2.8937, 2.4363], [0.9246, 2.4953, 4.1770]], "species": ["As", "Au", "Au", "Au"], "fractional_positions": [[0.0000, 0.0000, 0.0000], [0.5000, 0.0000, 0.0000], [0.0000, 0.5000, 0.0000], [0.0000, 0.0000, 0.5000]]}


{"formula": "Tc2H2Rh", "functional": "PBE", "state": "optimized geometry", "energy_ev_per_cell": -33.6, "magmom_total_mub_per_atom": 0.269, "dos_at_fermi_per_ev_atom": 0.9978, "sg": "I4/mmm", "lattice": [[3.4426, 0.0000, 0.0000], [0.0000, 3.4426, 0.0000], [1.7213, 1.7213, 4.1747]], "species": ["H", "H", "Rh", "Tc", "Tc"], "fractional_positions": [[0.7500, 0.2500, 0.5000], [0.2500, 0.7500, 0.5000], [0.0000, 0.0000, 0.0000], [0.3442, 0.3442, 0.3116], [0.6558, 0.6558, 0.6884]]}


{"formula": "LaNiSb3", "functional": "PBE", "state": "optimized geometry", "e_form_raw_ev_per_atom": 1.17, "magmom_total_mub_per_atom": 0.000, "dos_at_fermi_per_ev_atom": 1.9476, "sg": "Pm-3m", "lattice": [[6.0085, 0.0000, 0.0000], [0.0000, 6.0085, 0.0000], [0.0000, 0.0000, 6.0085]], "species": ["Sb", "Sb", "Sb", "Ni", "La"], "fractional_positions": [[0.0000, 0.5000, 0.0000], [0.0000, 0.0000, 0.5000], [0.5000, 0.0000, 0.0000], [0.5000, 0.5000, 0.5000], [0.0000, 0.0000, 0.0000]]}


{"formula": "Ho3Tm3Ga4", "functional": "PBE", "state": "optimized geometry", "magmom_total_mub_per_atom": 0.000, "dos_at_fermi_per_ev_atom": 1.0694, "delta_e_f_mev_per_atom": -528, "sg": "Amm2", "lattice": [[-0.4236, 3.7170, -2.0284], [-7.2197, 0.4518, 2.3357], [2.2352, 3.6750, 6.2675]], "species": ["Ho", "Ho", "Ho", "Tm", "Tm", "Tm", "Ga", "Ga", "Ga", "Ga"], "fractional_positions": [[0.5000, 0.8258, 0.1742], [0.5000, 0.3250, 0.3254], [0.5000, 0.6746, 0.6750], [0.0000, 0.4996, 0.9998], [0.0000, 0.0002, 0.5004], [0.5000, 0.1749, 0.8251], [0.0000, 0.6203, 0.3797], [0.0000, 0.3784, 0.6216], [0.0000, 0.8803, 0.8790], [0.0000, 0.1210, 0.1197]]}


{"formula": "CeDy7Ho4", "functional": "PBE", "state": "optimized geometry", "magmom_total_mub_per_atom": 0.065, "dos_at_fermi_per_ev_atom": 1.9265, "delta_e_f_mev_per_atom": 282, "sg": "C2/m", "lattice": [[-1.8206, 3.8562, -3.9303], [-1.2994, -6.1731, -9.7334], [-6.5645, 0.7234, -0.5280]], "species": ["Ce", "Dy", "Dy", "Dy", "Dy", "Dy", "Dy", "Dy", "Ho", "Ho", "Ho", "Ho"], "fractional_positions": [[0.0000, 0.0000, 0.0000], [0.7940, 0.9233, 0.4886], [0.2060, 0.0767, 0.5114], [0.0590, 0.6715, 0.2106], [0.9410, 0.3285, 0.7894], [0.3649, 0.5035, 0.7667], [0.5000, 0.0000, 0.0000], [0.6351, 0.4965, 0.2333], [0.6319, 0.2255, 0.5107], [0.3681, 0.7745, 0.4893], [0.7465, 0.6875, 0.8195], [0.2535, 0.3125, 0.1805]]}


{"formula": "HoPa5C6", "functional": "PBE", "state": "optimized geometry", "magmom_total_mub_per_atom": 0.000, "dos_at_fermi_per_ev_atom": 0.8643, "delta_e_f_mev_per_atom": -435, "sg": "C2/m", "lattice": [[6.1671, 0.1479, 0.9355], [1.5136, 5.2207, 3.0437], [0.1034, 0.0532, 6.2330]], "species": ["C", "C", "C", "C", "C", "C", "Pa", "Pa", "Pa", "Pa", "Pa", "Ho"], "fractional_positions": [[0.7428, 0.0852, 0.3457], [0.2572, 0.5691, 0.3457], [0.2525, 0.2630, 0.0000], [0.7475, 0.7370, 0.0000], [0.7428, 0.4309, 0.6543], [0.2572, 0.9148, 0.6543], [0.5000, 0.1656, 0.6689], [0.0000, 0.3330, 0.3341], [0.5000, 0.5000, 0.0000], [0.0000, 0.6670, 0.6659], [0.5000, 0.8344, 0.3311], [0.0000, 0.0000, 0.0000]]}


{"formula": "CaLaScRe2", "functional": "PBE", "state": "optimized geometry", "magmom_total_mub_per_atom": 0.000, "dos_at_fermi_per_ev_atom": 1.1347, "delta_e_f_mev_per_atom": 1268, "sg": "P4/mmm", "lattice": [[4.8437, 0.0000, 0.0000], [0.0000, 5.1861, 0.0000], [0.0000, 0.0000, 4.8437]], "species": ["Sc", "Re", "Re", "Ca", "La"], "fractional_positions": [[0.0000, 0.0000, 0.0000], [0.0000, 0.0000, 0.5000], [0.5000, 0.0000, 0.0000], [0.0000, 0.5000, 0.0000], [0.5000, 0.5000, 0.5000]]}